Record 1
# NaCdAg2Cl6 (PBE, relaxed)
data_NaCdAg2Cl6
_chemical_formula_sum 'Na4 Cd4 Ag8 Cl24'
_space_group_name_H-M_alt 'C 1 2/c 1'
_space_group_IT_number 15
_space_group_name_Hall '-C 2yc'
_cell_length_a 12.6406
_cell_length_b 12.1595
_cell_length_c 7.0913
_cell_angle_alpha 90.00
_cell_angle_beta 99.09
_cell_angle_gamma 90.00
loop_
_atom_site_label
_atom_site_type_symbol
_atom_site_fract_x
_atom_site_fract_y
_atom_site_fract_z
Na1 Na 0.0000 0.0871 0.2500
Cd1 Cd 0.0000 0.2546 0.7500
Ag1 Ag 0.1774 0.4086 0.2961
Cl1 Cl 0.1148 0.2480 0.0865
Cl2 Cl 0.1163 0.0921 0.6263
Cl3 Cl 0.1298 0.4083 0.6295
# Total DFT energy (no corrections) ... -2.73 eV per atom

***

Record 2
# YReAu2 (PBE, relaxed)
data_YReAu2
_chemical_formula_sum 'Y1 Re1 Au2'
_space_group_name_H-M_alt 'P 4/m m m'
_space_group_IT_number 123
_space_group_name_Hall '-P 4 2'
_cell_length_a 3.0629
_cell_length_b 3.0629
_cell_length_c 8.1253
_cell_angle_alpha 90.00
_cell_angle_beta 90.00
_cell_angle_gamma 90.00
loop_
_atom_site_label
_atom_site_type_symbol
_atom_site_fract_x
_atom_site_fract_y
_atom_site_fract_z
Y1 Y 0.0000 0.0000 0.0000
Re1 Re 0.0000 0.0000 0.5000
Au1 Au 0.5000 0.5000 0.2716
# Energy above the lowest structure with this stoichiometry ... 192 meV/atom

***

Record 3
# AgPtPb2 (PBE, relaxed)
data_AgPtPb2
_chemical_formula_sum 'Ag4 Pt4 Pb8'
_space_group_name_H-M_alt 'F -4 3 m'
_space_group_IT_number 216
_space_group_name_Hall 'F -4 2 3'
_cell_length_a 7.1399
_cell_length_b 7.1399
_cell_length_c 7.1399
_cell_angle_alpha 90.00
_cell_angle_beta 90.00
_cell_angle_gamma 90.00
loop_
_atom_site_label
_atom_site_type_symbol
_atom_site_fract_x
_atom_site_fract_y
_atom_site_fract_z
Ag1 Ag 0.0000 0.0000 0.0000
Pt1 Pt 0.2500 0.2500 0.2500
Pb1 Pb 0.0000 0.0000 0.5000
Pb2 Pb 0.2500 0.2500 0.7500
# Energy above the lowest structure with this stoichiometry ... 239 meV/atom

***

Record 4
# ZrCdSN2 (PBE, relaxed)
data_ZrCdSN2
_chemical_formula_sum 'Zr1 Cd1 S1 N2'
_space_group_name_H-M_alt 'P 4/m m m'
_space_group_IT_number 123
_space_group_name_Hall '-P 4 2'
_cell_length_a 4.1008
_cell_length_b 4.1008
_cell_length_c 4.8349
_cell_angle_alpha 90.00
_cell_angle_beta 90.00
_cell_angle_gamma 90.00
loop_
_atom_site_label
_atom_site_type_symbol
_atom_site_fract_x
_atom_site_fract_y
_atom_site_fract_z
Zr1 Zr 0.0000 0.0000 0.0000
Cd1 Cd 0.5000 0.5000 0.5000
S1 S 0.5000 0.5000 0.0000
N1 N 0.0000 0.5000 0.5000
# Energy above the lowest structure with this stoichiometry ... 994 meV/atom

***

Record 5
# ReH3Pb (PBE, relaxed)
data_ReH3Pb
_chemical_formula_sum 'Re1 H3 Pb1'
_space_group_name_H-M_alt 'P m -3 m'
_space_group_IT_number 221
_space_group_name_Hall '-P 4 2 3'
_cell_length_a 4.1801
_cell_length_b 4.1801
_cell_length_c 4.1801
_cell_angle_alpha 90.00
_cell_angle_beta 90.00
_cell_angle_gamma 90.00
loop_
_atom_site_label
_atom_site_type_symbol
_atom_site_fract_x
_atom_site_fract_y
_atom_site_fract_z
Re1 Re 0.0000 0.0000 0.0000
H1 H 0.0000 0.5000 0.5000
Pb1 Pb 0.5000 0.5000 0.5000
# Energy above the lowest structure with this stoichiometry ... 1189 meV/atom

***

Record 6
# CsLaPd2 (PBE, relaxed)
data_CsLaPd2
_chemical_formula_sum 'Cs4 La4 Pd8'
_space_group_name_H-M_alt 'F m -3 m'
_space_group_IT_number 225
_space_group_name_Hall '-F 4 2 3'
_cell_length_a 7.5814
_cell_length_b 7.5814
_cell_length_c 7.5814
_cell_angle_alpha 90.00
_cell_angle_beta 90.00
_cell_angle_gamma 90.00
loop_
_atom_site_label
_atom_site_type_symbol
_atom_site_fract_x
_atom_site_fract_y
_atom_site_fract_z
Cs1 Cs 0.0000 0.0000 0.0000
La1 La 0.0000 0.0000 0.5000
Pd1 Pd 0.2500 0.2500 0.2500
# Energy above the lowest structure with this stoichiometry ... 0 meV/atom

***

Record 7
# ZrPb2 (PBE, relaxed)
data_ZrPb2
_chemical_formula_sum 'Zr2 Pb4'
_space_group_name_H-M_alt 'I 4/m m m'
_space_group_IT_number 139
_space_group_name_Hall '-I 4 2'
_cell_length_a 3.2504
_cell_length_b 3.2504
_cell_length_c 15.8291
_cell_angle_alpha 90.00
_cell_angle_beta 90.00
_cell_angle_gamma 90.00
loop_
_atom_site_label
_atom_site_type_symbol
_atom_site_fract_x
_atom_site_fract_y
_atom_site_fract_z
Zr1 Zr 0.0000 0.0000 0.0000
Pb1 Pb 0.0000 0.0000 0.3513
# Total DFT energy (no corrections) ... -5.30 eV per atom

***

Record 8
# BaCa2Au (PBE, relaxed)
data_BaCa2Au
_chemical_formula_sum 'Ba4 Ca8 Au4'
_space_group_name_H-M_alt 'F m -3 m'
_space_group_IT_number 225
_space_group_name_Hall '-F 4 2 3'
_cell_length_a 7.9297
_cell_length_b 7.9297
_cell_length_c 7.9297
_cell_angle_alpha 90.00
_cell_angle_beta 90.00
_cell_angle_gamma 90.00
loop_
_atom_site_label
_atom_site_type_symbol
_atom_site_fract_x
_atom_site_fract_y
_atom_site_fract_z
Ba1 Ba 0.0000 0.0000 0.0000
Ca1 Ca 0.2500 0.2500 0.2500
Au1 Au 0.0000 0.0000 0.5000
# Energy above the lowest structure with this stoichiometry ... 292 meV/atom

***

Record 9
# ZrSc2Mn (PBE, relaxed)
data_ZrSc2Mn
_chemical_formula_sum 'Zr2 Sc4 Mn2'
_space_group_name_H-M_alt 'I m m 2'
_space_group_IT_number 44
_space_group_name_Hall 'I 2 -2'
_cell_length_a 3.3174
_cell_length_b 4.9983
_cell_length_c 9.6327
_cell_angle_alpha 90.00
_cell_angle_beta 90.00
_cell_angle_gamma 90.00
loop_
_atom_site_label
_atom_site_type_symbol
_atom_site_fract_x
_atom_site_fract_y
_atom_site_fract_z
Zr1 Zr 0.0000 0.0000 0.0000
Sc1 Sc 0.0000 0.0000 0.4070
Sc2 Sc 0.0000 0.5000 0.2041
Mn1 Mn 0.0000 0.5000 0.6942
# Energy above the lowest structure with this stoichiometry ... 0 meV/atom

***

Record 10
# Ca2H6RhPb (PBE, relaxed)
data_Ca2H6RhPb
_chemical_formula_sum 'Ca2 H6 Rh1 Pb1'
_space_group_name_H-M_alt 'P -3 m 1'
_space_group_IT_number 164
_space_group_name_Hall '-P 3 2"'
_cell_length_a 4.8289
_cell_length_b 4.8289
_cell_length_c 6.6817
_cell_angle_alpha 90.00
_cell_angle_beta 90.00
_cell_angle_gamma 120.00
loop_
_atom_site_label
_atom_site_type_symbol
_atom_site_fract_x
_atom_site_fract_y
_atom_site_fract_z
Ca1 Ca 0.3333 0.6667 0.2076
H1 H 0.1669 0.3338 0.8616
Rh1 Rh 0.0000 0.0000 0.0000
Pb1 Pb 0.0000 0.0000 0.5000
# Total DFT energy (no corrections) ... -3.91 eV per atom

***

Record 11
# Mn2Cu2Pt3 (PBE, relaxed)
data_Mn2Cu2Pt3
_chemical_formula_sum 'Mn4 Cu4 Pt6'
_space_group_name_H-M_alt 'C m m m'
_space_group_IT_number 65
_space_group_name_Hall '-C 2 2'
_cell_length_a 3.8451
_cell_length_b 18.6150
_cell_length_c 2.8105
_cell_angle_alpha 90.00
_cell_angle_beta 90.00
_cell_angle_gamma 90.00
loop_
_atom_site_label
_atom_site_type_symbol
_atom_site_fract_x
_atom_site_fract_y
_atom_site_fract_z
Mn1 Mn 0.0000 0.0763 0.0000
Cu1 Cu 0.0000 0.2142 0.0000
Pt1 Pt 0.0000 0.3486 0.5000
Pt2 Pt 0.0000 0.5000 0.5000
# Total DFT energy (no corrections) ... -6.59 eV per atom

***

Record 12
# YCdIn (PBE, relaxed)
data_YCdIn
_chemical_formula_sum 'Y4 Cd4 In4'
_space_group_name_H-M_alt 'F -4 3 m'
_space_group_IT_number 216
_space_group_name_Hall 'F -4 2 3'
_cell_length_a 6.9739
_cell_length_b 6.9739
_cell_length_c 6.9739
_cell_angle_alpha 90.00
_cell_angle_beta 90.00
_cell_angle_gamma 90.00
loop_
_atom_site_label
_atom_site_type_symbol
_atom_site_fract_x
_atom_site_fract_y
_atom_site_fract_z
Y1 Y 0.0000 0.0000 0.0000
Cd1 Cd 0.0000 0.0000 0.5000
In1 In 0.2500 0.2500 0.2500
# Total DFT energy (no corrections) ... -3.63 eV per atom

***

Record 13
# Ge2Bi2Pd (PBE, relaxed)
data_Ge2Bi2Pd
_chemical_formula_sum 'Ge4 Bi4 Pd2'
_space_group_name_H-M_alt 'P 4/m b m'
_space_group_IT_number 127
_space_group_name_Hall '-P 4 2ab'
_cell_length_a 6.6415
_cell_length_b 6.6415
_cell_length_c 5.2850
_cell_angle_alpha 90.00
_cell_angle_beta 90.00
_cell_angle_gamma 90.00
loop_
_atom_site_label
_atom_site_type_symbol
_atom_site_fract_x
_atom_site_fract_y
_atom_site_fract_z
Ge1 Ge 0.1391 0.3609 0.0000
Bi1 Bi 0.1849 0.6849 0.5000
Pd1 Pd 0.0000 0.0000 0.0000
# Total DFT energy (no corrections) ... -4.39 eV per atom

***

Record 14
# KHgPb2 (PBE, relaxed)
data_KHgPb2
_chemical_formula_sum 'K1 Hg1 Pb2'
_space_group_name_H-M_alt 'P 1 m 1'
_space_group_IT_number 6
_space_group_name_Hall 'P -2y'
_cell_length_a 3.6985
_cell_length_b 4.4181
_cell_length_c 8.0991
_cell_angle_alpha 90.00
_cell_angle_beta 90.01
_cell_angle_gamma 90.00
loop_
_atom_site_label
_atom_site_type_symbol
_atom_site_fract_x
_atom_site_fract_y
_atom_site_fract_z
K1 K 0.0000 0.0000 0.0000
Hg1 Hg 0.4998 0.5000 0.2561
Pb1 Pb 0.0006 0.0000 0.4866
Pb2 Pb 0.5017 0.5000 0.6910
# Total DFT energy (no corrections) ... -2.33 eV per atom

***

Record 15
# TbYTa (PBE, relaxed)
data_TbYTa
_chemical_formula_sum 'Tb2 Y2 Ta2'
_space_group_name_H-M_alt 'P 4/n m m'
_space_group_IT_number 129
_cell_length_a 3.5316
_cell_length_b 3.5316
_cell_length_c 13.1699
_cell_angle_alpha 90.00
_cell_angle_beta 90.00
_cell_angle_gamma 90.00
loop_
_space_group_symop_operation_xyz
'x,y,z'
'-x,-y,-z'
'-y+1/2,x,z'
'y+1/2,-x,-z'
'-x+1/2,-y+1/2,z'
'x+1/2,y+1/2,-z'
'y,-x+1/2,z'
'-y,x+1/2,-z'
'x+1/2,-y,-z'
'-x+1/2,y,z'
'-y,-x,-z'
'y,x,z'
'-x,y+1/2,-z'
'x,-y+1/2,z'
'y+1/2,x+1/2,-z'
'-y+1/2,-x+1/2,z'
loop_
_atom_site_label
_atom_site_type_symbol
_atom_site_fract_x
_atom_site_fract_y
_atom_site_fract_z
Tb1 Tb 0.2500 0.2500 0.0924
Y1 Y 0.2500 0.2500 0.7007
Ta1 Ta 0.2500 0.2500 0.4536
# Total DFT energy (no corrections) ... -7.51 eV per atom